Crystalline Nd3AlTl4S8 at its relaxed geometry. Source: the Alexandria database, functional PBE.

Cell lengths 8.1157, 8.8536, 8.1176 Å; angles 117.31, 119.99, 90.00 degrees
Fractional coordinates of all 16 atoms:
Nd (0.5000, 0.5000, 0.0000)
Nd (0.5000, 0.5000, 0.5000)
Nd (0.0000, 0.5000, 0.5000)
Al (0.0000, 0.5000, 0.0000)
Tl (0.5000, 0.0000, 0.0000)
Tl (0.5000, 0.0000, 0.5000)
Tl (0.0000, 0.0000, 0.0000)
Tl (0.0000, 0.0000, 0.5000)
S (0.2144, 0.6915, 0.9773)
S (0.2149, 0.6920, 0.4297)
S (0.2640, 0.2920, 0.5280)
S (0.7629, 0.6915, 0.9773)
S (0.2371, 0.3085, 0.0227)
S (0.7360, 0.7080, 0.4720)
S (0.7851, 0.3080, 0.5703)
S (0.7856, 0.3085, 0.0227)

Computed properties:
Its space-group type is No. 166. The raw formation energy comes out at -19.54 eV per formula unit. The density of states at the Fermi level is 0.15 states/eV/cell.

=====

Crystalline HfTe2Ru at its relaxed geometry. Source: the Alexandria database, functional PBE.

Cell lengths 6.2199, 6.2199, 7.5178 Å; angles 65.56, 65.56, 90.00 degrees
Fractional coordinates of all 8 atoms:
Ru (0.5000, 0.5000, 0.0000)
Ru (0.2500, 0.7500, 0.5000)
Te (0.5951, 0.1250, 0.2500)
Te (0.1549, 0.6250, 0.2500)
Te (0.3750, 0.4049, 0.7500)
Te (0.8750, 0.8451, 0.7500)
Hf (0.0000, 0.0000, 0.0000)
Hf (0.7500, 0.2500, 0.5000)

Computed properties:
Its space-group type is No. 122. The raw formation energy comes out at 0.73 eV per formula unit. For the offset from the most stable computed form, the calculation gives 227 meV per atom. The density of states at the Fermi level is 6.69 states/eV/cell.